1.
Entry from the Alexandria database: a geometry-optimized In4IBr2F structure (GGA-PBE).

```
16
Lattice="-3.1592 5.8948 -6.6172 -8.5712 -0.3232 3.8674 7.5073 2.3401 5.2630" Properties=species:S:1:pos:R:3 pbc="T T T"
In 4.4704 3.7288 4.3994
In 1.0018 2.6544 1.9717
In -8.6936 4.1828 -1.8862
In -5.2250 5.2572 0.5415
In -7.6489 0.8754 2.0200
In 3.4258 7.0362 0.4932
In -1.0981 4.9812 -0.6460
In -3.1250 2.9304 3.1591
F -2.1115 3.9557 1.2566
F 0.0000 0.0000 0.0000
Br 2.1740 4.1174 -0.6771
Br -7.9768 6.7415 -0.1183
Br -1.5796 2.9474 -3.3086
Br -5.8652 2.7858 -1.3749
I -0.5320 1.0084 4.5652
I -4.2856 -0.1616 1.9337
```

## Properties
As for the space-group type: No. 74. As for the calculated volume: 36.731 A^3/atom. Its formation energy without anion corrections is -76.4 kJ/mol of atoms.

=====

2.
Entry from the Alexandria database: a geometry-optimized In4I2BrF structure (GGA-PBE).

```
16
Lattice="-8.2059 2.2736 3.9743 -4.0566 0.2901 -8.4712 4.2628 -7.6604 2.6421" Properties=species:S:1:pos:R:3 pbc="T T T"
In -7.5288 1.8541 1.6708
In -4.8459 -2.2398 1.3374
In -3.0022 0.5697 -1.1829
In -0.9442 -3.1437 0.0951
In -3.1539 -2.8569 -3.1922
In -4.9975 -5.6664 -0.6720
In -0.4709 -6.9508 -3.5256
In -7.0556 -1.9531 -1.9499
I -6.0282 -2.4033 -5.1630
I -4.1030 1.1368 1.9871
I -6.0745 -1.5566 5.2953
I -1.8685 -6.3786 0.3936
F -7.9997 -5.0967 -1.8548
F -3.9999 -2.5484 -0.9274
Br -8.1028 -1.4116 1.0597
Br -2.0283 0.1451 -4.2356
```

## Properties
As for the space-group type: No. 74. As for the calculated volume: 36.692 A^3/atom. Its formation energy without anion corrections is -72.1 kJ/mol of atoms.

=====

no.,total magnetic moment (μB per formula unit)
1,0.0
2,0.0